Computed, not measured: Hg2RuPt after structural relaxation at the PBE level of DFT.

Output
- Energy above the most stable polymorph in this dataset: 83.0 meV per atom
- Volume: 74.92 Å³ per cell
- Formation energy: 0.38 eV per atom
- Magnetization: 0.0 μB/f.u.
- Space-group type: Imm2, No. 44
- Crystal system: orthorhombic

a = 6.086 Å, b = 6.086 Å, c = 6.086 Å
α = 152.94°, β = 132.71°, γ = 55.34°
Atoms (fractional coordinates):
Ru (0.264, 0.764, 0.500)
Pt (0.469, 0.469, 0.000)
Hg (0.738, 0.238, 0.500)
Hg (0.028, 0.028, 0.000)